Here is a geometry-optimized BaTc2Te structure from Alexandria via LeMat-Bulk. Energies are from GGA-PBE.

Calculated values
SG ... Immm
Formation energy without anion corrections ... 889 meV per atom
Size of the total moment ... 0.00 μB/f.u.

The structure in CIF format:
```
data_BaTc2Te
_space_group_name_H-M_alt 'P 1'
_space_group_IT_number 1
_cell_length_a 5.900
_cell_length_b 5.900
_cell_length_c 5.900
_cell_angle_alpha 147.88
_cell_angle_beta 122.21
_cell_angle_gamma 67.67
loop_
_space_group_symop_operation_xyz
'x,y,z'
loop_
_atom_site_label
_atom_site_type_symbol
_atom_site_fract_x
_atom_site_fract_y
_atom_site_fract_z
Tc1 Tc 0.535 0.535 0.000
Tc2 Tc 0.965 0.965 0.000
Ba1 Ba 0.250 0.750 0.500
Te1 Te 0.750 0.250 0.500
```